# 1
Entry from Alexandria: crystalline Nd3Er2Hg6 at its relaxed geometry (PBE).

Properties
The calculated density is 9.2 Mg/m³. As for the spin magnetization: 0.00 μB/cell. For the total energy, the calculation gives -2.41 eV per atom.

Unit cell a=13.8841 b=13.8841 c=13.8841 alpha=158.62 beta=158.62 gamma=30.41
Closest atoms and distances in Å follow each position.
Fractional coordinates of all 11 atoms:
Nd 0.0000 0.0000 0.0000  8 Hg 3.14
Nd 0.1500 0.1500 0.0000  5 Hg 3.17-3.41
Nd 0.8500 0.8500 0.0000  5 Hg 3.17-3.41
Er 0.3799 0.3799 0.0000  5 Hg 2.94-2.99
Er 0.6201 0.6201 0.0000  5 Hg 2.94-2.99
Hg 0.0668 0.5668 0.5000  2 Er 2.94, 2 Nd 3.14
Hg 0.2684 0.2684 0.0000  1 Er 2.99, 1 Nd 3.17
Hg 0.4332 0.9332 0.5000  2 Er 2.94, 2 Nd 3.14
Hg 0.5668 0.0668 0.5000  2 Er 2.94, 2 Nd 3.14
Hg 0.7316 0.7316 0.0000  1 Er 2.99, 1 Nd 3.17
Hg 0.9332 0.4332 0.5000  2 Er 2.94, 2 Nd 3.14

***

# 2
Entry from Alexandria: crystalline Ba2SiTe5 at its relaxed geometry (PBE).

Properties
The calculated density is 5.0 Mg/m³. As for the spin magnetization: 0.00 μB/cell. For the total energy, the calculation gives -4.00 eV per atom. The value obtained for the energy relative to the elements, uncorrected is -878 meV/atom.

Unit cell a=7.3022 b=7.3022 c=7.5667 alpha=112.20 beta=112.20 gamma=102.52
Closest atoms and distances in Å follow each position.
Fractional coordinates of all 8 atoms:
Ba 0.2478 0.7522 0.0000  8 Te 3.57-3.88, 1 Si 3.92
Ba 0.7522 0.2478 0.0000  8 Te 3.57-3.88, 1 Si 3.92
Si 0.4827 0.4827 0.3395  4 Te 2.53-2.64
Te 0.2244 0.2244 0.9270  1 Si 2.53
Te 0.2721 0.6723 0.4758  1 Si 2.53
Te 0.6723 0.2721 0.4758  1 Si 2.53
Te 0.7282 0.7282 0.9932  1 Te 2.78
Te 0.8018 0.8018 0.4071  1 Si 2.64, 1 Te 2.78

***

# 3
Entry from Alexandria: crystalline BaGaSbS4 at its relaxed geometry (PBE).

Properties
The calculated density is 3.7 Mg/m³. As for the spin magnetization: 0.00 μB/cell. For the total energy, the calculation gives -4.60 eV per atom. The value obtained for the energy relative to the elements, uncorrected is -942 meV/atom.

Unit cell a=7.5969 b=6.8115 c=8.3605 alpha=90.00 beta=109.02 gamma=90.00
Closest atoms and distances in Å follow each position.
Fractional coordinates of all 14 atoms:
Ba 0.2330 0.2500 0.4752  6 S 3.06-3.38
Ba 0.7670 0.7500 0.5248  6 S 3.06-3.38
Ga 0.2229 0.7500 0.1916  4 S 2.21-2.32
Ga 0.7771 0.2500 0.8084  4 S 2.21-2.32
Sb 0.2661 0.2500 0.0121  3 S 2.49
Sb 0.7339 0.7500 0.9879  3 S 2.49
S 0.0259 0.7500 0.9144  1 Ga 2.31, 1 Sb 2.49
S 0.1037 0.7500 0.4006  1 Ga 2.21
S 0.4340 0.0051 0.2293  1 Ga 2.32, 1 Sb 2.49
S 0.4340 0.4949 0.2293  1 Ga 2.32, 1 Sb 2.49
S 0.5660 0.5051 0.7707  1 Ga 2.32, 1 Sb 2.49
S 0.5660 0.9949 0.7707  1 Ga 2.32, 1 Sb 2.49
S 0.8963 0.2500 0.5994  1 Ga 2.21
S 0.9741 0.2500 0.0856  1 Ga 2.31, 1 Sb 2.49

***

# 4
Entry from Alexandria: crystalline GaAg3H at its relaxed geometry (PBE).

Properties
The calculated density is 8.8 Mg/m³. As for the spin magnetization: 0.00 μB/cell. For the total energy, the calculation gives -2.78 eV per atom. Its distance to the lowest polymorph of the same formula is 0 meV/atom.

Unit cell a=4.2089 b=4.2089 c=4.2089 alpha=90.00 beta=90.00 gamma=90.00
Closest atoms and distances in Å follow each position.
Fractional coordinates of all 5 atoms:
Ga 0.0000 0.0000 0.0000  12 Ag 2.98
Ag 0.0000 0.5000 0.5000  2 H 2.10
Ag 0.5000 0.0000 0.5000  2 H 2.10
Ag 0.5000 0.5000 0.0000  2 H 2.10
H 0.5000 0.5000 0.5000  6 Ag 2.10

***

# 5
Entry from Alexandria: crystalline AcPm5Ho3 at its relaxed geometry (PBE).

Properties
The calculated density is 7.8 Mg/m³. As for the spin magnetization: 0.00 μB/cell. For the total energy, the calculation gives -4.55 eV per atom.

Unit cell a=6.7839 b=6.7839 c=13.5466 alpha=94.75 beta=94.75 gamma=94.90
Closest atoms and distances in Å follow each position.
Fractional coordinates of all 18 atoms:
Ac 0.1524 0.8476 0.7500  5 Pm 3.39-3.63, 4 Ho 3.71-3.75
Ac 0.8476 0.1524 0.2500  5 Pm 3.39-3.63, 4 Ho 3.71-3.75
Pm 0.1557 0.5201 0.4184  3 Pm 3.16-3.31
Pm 0.1786 0.4770 0.9210  4 Pm 3.31-3.58, 1 Ac 3.56, 2 Ho 3.63-3.64
Pm 0.1869 0.8131 0.2500  2 Pm 3.16, 1 Ac 3.39
Pm 0.4770 0.1786 0.4210  4 Pm 3.31-3.58, 1 Ac 3.56, 2 Ho 3.63-3.64
Pm 0.4799 0.8443 0.0816  3 Pm 3.16-3.31
Pm 0.5201 0.1557 0.9184  3 Pm 3.16-3.31
Pm 0.5230 0.8214 0.5790  4 Pm 3.31-3.58, 1 Ac 3.56, 2 Ho 3.63-3.64
Pm 0.8131 0.1869 0.7500  2 Pm 3.16, 1 Ac 3.39
Pm 0.8214 0.5230 0.0790  4 Pm 3.31-3.58, 1 Ac 3.56, 2 Ho 3.63-3.64
Pm 0.8443 0.4799 0.5816  3 Pm 3.16-3.31
Ho 0.0000 0.0000 0.0000  2 Ho 3.59, 10 Pm 3.62-3.94, 2 Ac 3.71
Ho 0.0000 0.0000 0.5000  2 Ho 3.59, 10 Pm 3.62-3.94, 2 Ac 3.71
Ho 0.3341 0.3381 0.6661  2 Ho 3.54-3.59, 10 Pm 3.61-3.96, 2 Ac 3.75-3.88
Ho 0.3381 0.3341 0.1661  2 Ho 3.54-3.59, 10 Pm 3.61-3.96, 2 Ac 3.75-3.88
Ho 0.6619 0.6659 0.8339  2 Ho 3.54-3.59, 10 Pm 3.61-3.96, 2 Ac 3.75-3.88
Ho 0.6659 0.6619 0.3339  2 Ho 3.54-3.59, 10 Pm 3.61-3.96, 2 Ac 3.75-3.88

***

# 6
Entry from Alexandria: crystalline Dy2PaSi3Pt4 at its relaxed geometry (PBE).

Properties
The calculated density is 12.1 Mg/m³. As for the spin magnetization: 0.00 μB/cell. For the total energy, the calculation gives -6.88 eV per atom. The value obtained for the energy relative to the elements, uncorrected is -966 meV/atom.

Unit cell a=4.2100 b=4.2100 c=10.9790 alpha=90.00 beta=90.00 gamma=90.00
Closest atoms and distances in Å follow each position.
Fractional coordinates of all 10 atoms:
Dy 0.0000 0.5000 0.2194  4 Si 3.17, 8 Pt 3.20-3.24
Dy 0.5000 0.0000 0.7806  4 Si 3.17, 8 Pt 3.20-3.24
Pa 0.0000 0.0000 0.5000  4 Pt 2.77, 4 Si 2.98
Si 0.0000 0.5000 0.8796  5 Pt 2.37-2.49
Si 0.5000 0.0000 0.1204  5 Pt 2.37-2.49
Si 0.5000 0.5000 0.5000  4 Pt 2.77, 4 Pa 2.98
Pt 0.0000 0.0000 0.0000  4 Si 2.49
Pt 0.0000 0.5000 0.6642  1 Si 2.37
Pt 0.5000 0.0000 0.3358  1 Si 2.37
Pt 0.5000 0.5000 0.0000  4 Si 2.49